AlSi2Ni7: relaxed, GGA-PBE.

a = 3.690 Å, b = 3.690 Å, c = 9.211 Å
α = 101.55°, β = 101.55°, γ = 90.00°
Element x y z (fractional)
Ni  0.250  0.750  0.500
Ni  0.903  0.403  0.806
Ni  0.750  0.250  0.500
Si  0.672  0.672  0.344
Si  0.328  0.328  0.656
Al  0.000  0.000  0.000
Ni  0.500  0.500  0.000
Ni  0.597  0.097  0.194
Ni  0.097  0.597  0.194
Ni  0.403  0.903  0.806

As for the symmetry: No. 139. The calculated total energy is -5.931 eV/atom. The density of states at the Fermi level is 4.61 states/eV/cell. As for the magnetization: 0.00 μB/f.u. The uncorrected formation energy is -0.4248 eV/atom. Its crystal system is tetragonal.